Entry from Alexandria via LeMat-Bulk: a relaxed structure of BaZn2Ru (PBEsol).

The structure in POSCAR format:
```
BaZn2Ru
1.0
3.2563 0.0000 0.0000
0.0000 3.2563 0.0000
0.0000 0.0000 7.3548
Ba Zn Ru
1 2 1
direct
0.0000 0.0000 0.0000
0.5000 0.5000 0.3328
0.5000 0.5000 0.6672
0.0000 0.0000 0.5000
```

Properties
The calculation puts the formation energy at 154 meV per atom.